# 1
Entry from Alexandria via LeMat-Bulk: IrCl3F6 after structural relaxation (PBE).

a = 11.326 Å, b = 6.854 Å, c = 5.739 Å
α = 90.00°, β = 94.30°, γ = 90.00°
Space group C2/m (No. 12)
One atom of each set of equivalent atoms:
Ir 0.000 0.000 0.000
Cl 0.000 0.500 0.500
Cl 0.183 0.500 0.405
F 0.075 0.000 0.305
F 0.105 0.195 0.912

Energy relative to the elements, uncorrected: -0.946 eV per atom

---

# 2
Entry from Alexandria via LeMat-Bulk: Ta2PtC2 after structural relaxation (PBE).

a = 4.317 Å, b = 4.317 Å, c = 7.905 Å
α = 90.00°, β = 90.00°, γ = 90.00°
Space group I4/mmm (No. 139)
One atom of each set of equivalent atoms:
Ta 0.000 0.500 0.250
Pt 0.000 0.000 0.000
C 0.000 0.000 0.271

E above lowest polymorph: 0.000 eV per atom
Calculated formation energy: -0.071 eV/atom

---

# 3
Entry from Alexandria via LeMat-Bulk: La3AuO after structural relaxation (PBE).

a = 6.801 Å, b = 7.187 Å, c = 7.358 Å
α = 61.80°, β = 80.35°, γ = 65.97°
Space group P1 (No. 1)
One atom of each set of equivalent atoms:
La 0.000 0.000 0.000
La 0.003 0.147 0.432
La 0.462 0.376 0.153
La 0.474 0.207 0.730
La 0.575 0.751 0.332
La 0.908 0.619 0.820
Au 0.064 0.571 0.421
Au 0.403 0.795 0.746
O 0.628 0.070 0.056
O 0.634 0.371 0.408

E above lowest polymorph: 0.040 eV per atom
Energy relative to the elements, uncorrected: -1.420 eV per atom